DFT (PBE-GGA) results for a relaxed structure of TcAs.

Output
**Final energy**: -7.33 eV per atom
**Volume**: 34.59 Å³/f.u.
**Calculated density**: 8301 kg/m3
**Energy above the lowest structure with this stoichiometry**: 379.5 meV/atom
**ΔH_f (0 K)**: 0.176 eV per atom

Cell lengths 5.0840, 5.0840, 5.0840 Å; angles 49.21, 49.21, 49.21 degrees
Sites, in units of the cell vectors:
Tc 0.1912 0.1912 0.1912
Tc 0.8088 0.8088 0.8088
As 0.3904 0.3904 0.3904
As 0.6096 0.6096 0.6096

DFT (PBE-GGA) results for a relaxed structure of Tc3As2.

Output
**Final energy**: -8.03 eV per atom
**Volume**: 77.85 Å³/f.u.
**Calculated density**: 9467 kg/m3
**ΔH_f (0 K)**: 0.047 eV per atom

Cell lengths 6.1428, 6.0248, 7.8097 Å; angles 50.74, 49.41, 79.85 degrees
Sites, in units of the cell vectors:
Tc 0.0000 0.0000 0.0000
Tc 0.2500 0.2500 0.2500
Tc 0.4652 0.4800 0.3474
Tc 0.4800 0.4652 0.7074
Tc 0.5426 0.9026 0.7700
Tc 0.9026 0.5426 0.7848
As 0.0113 0.5395 0.0664
As 0.1836 0.8672 0.2387
As 0.5395 0.0113 0.3828
As 0.8672 0.1836 0.7105

DFT (PBE-GGA) results for a relaxed structure of Tc3As.

Output
**Final energy**: -8.83 eV per atom
**Volume**: 59.47 Å³/f.u.
**Calculated density**: 10301 kg/m3
**Energy above the lowest structure with this stoichiometry**: 137.0 meV/atom
**ΔH_f (0 K)**: 0.110 eV per atom

Cell lengths 5.5337, 7.6883, 5.5914 Å; angles 90.00, 90.00, 90.00 degrees
Sites, in units of the cell vectors:
Tc 0.0229 0.2500 0.0866
Tc 0.1902 0.5370 0.3058
Tc 0.1902 0.9630 0.3058
Tc 0.3098 0.0370 0.8058
Tc 0.3098 0.4630 0.8058
Tc 0.4771 0.7500 0.5866
Tc 0.5229 0.2500 0.4134
Tc 0.6902 0.5370 0.1942
Tc 0.6902 0.9630 0.1942
Tc 0.8098 0.0370 0.6942
Tc 0.8098 0.4630 0.6942
Tc 0.9771 0.7500 0.9134
As 0.0864 0.2500 0.5221
As 0.4136 0.7500 0.0221
As 0.5864 0.2500 0.9779
As 0.9136 0.7500 0.4779